## A
DFT (GGA-PBE) results for crystalline ZrNi2Br at its relaxed geometry.

Lattice parameters (Å, degrees): 5.079 5.079 5.079 139.85 128.58 67.17
Element x y z (fractional)
Ni 0.002 0.002 0.000
Ni 0.793 0.293 0.500
Zr 0.491 0.491 0.000
Br 0.214 0.714 0.500

Fermi-level density of states   1.0709 states/eV/atom


## B
DFT (GGA-PBE) results for crystalline ZrNi2Br at its relaxed geometry.

Lattice parameters (Å, degrees): 3.223 3.279 6.990 76.13 90.00 90.00
Site moments in Bohr magnetons follow the coordinates.
Element x y z (fractional)
Ni 0.500 0.201 0.227  0.06
Ni 0.000 0.771 0.091  0.13
Zr 0.000 0.585 0.451  0.00
Br 0.500 0.943 0.730  0.00

Fermi-level density of states   1.2822 states/eV/atom


## C
DFT (GGA-PBE) results for crystalline ZrNi2Br at its relaxed geometry.

Lattice parameters (Å, degrees): 3.252 3.252 7.353 90.00 90.00 90.00
Site moments in Bohr magnetons follow the coordinates.
Element x y z (fractional)
Zr 0.000 0.000 0.450  0.02
Ni 0.500 0.500 0.230  0.15
Ni 0.000 0.000 0.122  0.23
Br 0.500 0.500 0.698  0.00

Fermi-level density of states   1.2350 states/eV/atom


Energy comparison, zero being the most stable, in meV per atom: A 256; B 0; C 12.


## A
DFT (GGA-PBE) results for crystalline NpPdBr6 at its relaxed geometry.

Lattice parameters (Å, degrees): 6.851 6.850 7.390 62.39 62.38 60.00
Site moments in Bohr magnetons follow the coordinates.
Element x y z (fractional)
Br 0.600 0.250 0.249  -0.14
Br 0.400 0.750 0.751  -0.14
Br 0.901 0.600 0.249  -0.14
Br 0.749 0.099 0.751  -0.14
Br 0.099 0.400 0.751  -0.14
Br 0.251 0.901 0.249  -0.14
Pd 0.000 0.000 0.000  -0.89
Np 0.500 0.500 0.500  2.81

Fermi-level density of states   0.9244 states/eV/atom


## B
DFT (GGA-PBE) results for crystalline NpPdBr6 at its relaxed geometry.

Lattice parameters (Å, degrees): 7.708 7.136 7.136 114.88 106.33 106.33
Site moments in Bohr magnetons follow the coordinates.
Element x y z (fractional)
Br 0.302 0.699 0.699  -0.10
Br 0.221 0.379 0.068  -0.02
Br 0.221 0.068 0.379  -0.02
Br 0.779 0.932 0.621  -0.02
Br 0.698 0.301 0.301  -0.10
Br 0.779 0.621 0.932  -0.02
Pd 0.000 0.000 0.000  0.10
Np 0.500 0.500 0.500  3.18

Fermi-level density of states   1.0122 states/eV/atom


Energy comparison, zero being the most stable, in meV per atom: A 70; B 0.


## A
DFT (GGA-PBE) results for crystalline RbNp2Br8 at its relaxed geometry.

Lattice parameters (Å, degrees): 9.261 8.506 8.506 53.36 74.91 74.91
Site moments in Bohr magnetons follow the coordinates.
Element x y z (fractional)
Br 0.759 0.640 0.146  -0.06
Br 0.241 0.854 0.360  -0.06
Br 0.241 0.360 0.854  -0.06
Br 0.846 0.621 0.621  -0.06
Br 0.759 0.146 0.640  -0.06
Br 0.630 0.186 0.186  -0.04
Br 0.154 0.379 0.379  -0.06
Br 0.370 0.814 0.814  -0.04
Rb 0.000 0.000 0.000  0.00
Np 0.672 0.797 0.797  3.59
Np 0.328 0.203 0.203  3.59

Fermi-level density of states   1.6025 states/eV/atom


## B
DFT (GGA-PBE) results for crystalline RbNp2Br8 at its relaxed geometry.

Lattice parameters (Å, degrees): 5.734 10.189 10.189 120.00 90.00 90.00
Site moments in Bohr magnetons follow the coordinates.
Element x y z (fractional)
Np 0.741 0.667 0.333  3.61
Np 0.259 0.333 0.667  3.61
Rb 0.000 0.000 0.000  0.00
Br 0.270 0.640 0.819  -0.05
Br 0.768 0.333 0.667  -0.05
Br 0.270 0.179 0.360  -0.05
Br 0.232 0.667 0.333  -0.05
Br 0.730 0.819 0.179  -0.05
Br 0.730 0.360 0.181  -0.05
Br 0.270 0.181 0.821  -0.05
Br 0.730 0.821 0.640  -0.05

Fermi-level density of states   1.1335 states/eV/atom


Energy comparison, zero being the most stable, in meV per atom: A 39; B 0.


## A
DFT (GGA-PBE) results for crystalline Rb2NpBr8 at its relaxed geometry.

Lattice parameters (Å, degrees): 5.188 7.065 11.978 108.91 102.51 90.00
Site moments in Bohr magnetons follow the coordinates.
Element x y z (fractional)
Br 0.385 0.022 0.770  -0.24
Br 0.431 0.602 0.861  -0.13
Br 0.023 0.810 0.046  -0.16
Br 0.615 0.978 0.230  -0.24
Br 0.218 0.222 0.436  -0.19
Br 0.977 0.190 0.954  -0.16
Br 0.569 0.398 0.139  -0.13
Br 0.782 0.778 0.564  -0.19
Rb 0.818 0.322 0.636  0.00
Rb 0.182 0.678 0.364  0.00
Np 0.500 0.000 0.000  2.86

Fermi-level density of states   1.3458 states/eV/atom


## B
DFT (GGA-PBE) results for crystalline Rb2NpBr8 at its relaxed geometry.

Lattice parameters (Å, degrees): 8.273 8.528 8.528 90.56 70.11 70.11
Site moments in Bohr magnetons follow the coordinates.
Element x y z (fractional)
Rb 0.622 0.790 0.790  0.00
Rb 0.378 0.210 0.210  0.00
Br 0.225 0.181 0.866  -0.04
Br 0.775 0.819 0.134  -0.04
Br 0.078 0.565 0.565  0.01
Br 0.756 0.264 0.264  -0.03
Br 0.225 0.866 0.181  -0.04
Br 0.775 0.134 0.819  -0.04
Br 0.244 0.736 0.736  -0.03
Br 0.922 0.435 0.435  0.01
Np 0.000 0.000 0.000  3.20

Fermi-level density of states   0.4677 states/eV/atom


Energy comparison, zero being the most stable, in meV per atom: A 145; B 0.


## A
DFT (GGA-PBE) results for crystalline NpTl2Br6 at its relaxed geometry.

Lattice parameters (Å, degrees): 7.416 7.416 14.047 90.00 90.00 90.00
Site moments in Bohr magnetons follow the coordinates.
Element x y z (fractional)
Br 0.817 0.183 0.856  -0.04
Br 0.236 0.764 0.500  -0.04
Br 0.817 0.183 0.144  -0.04
Br 0.736 0.736 0.000  -0.04
Br 0.683 0.683 0.356  -0.04
Br 0.764 0.236 0.500  -0.04
Br 0.183 0.817 0.144  -0.04
Br 0.317 0.317 0.356  -0.04
Br 0.264 0.264 0.000  -0.04
Br 0.183 0.817 0.856  -0.04
Br 0.683 0.683 0.644  -0.04
Br 0.317 0.317 0.644  -0.04
Tl 0.000 0.000 0.666  -0.01
Tl 0.000 0.000 0.334  -0.01
Tl 0.500 0.500 0.834  -0.01
Tl 0.500 0.500 0.166  -0.01
Np 0.000 0.000 0.000  3.22
Np 0.500 0.500 0.500  3.22

Fermi-level density of states   0.2794 states/eV/atom


## B
DFT (GGA-PBE) results for crystalline NpTl2Br6 at its relaxed geometry.

Lattice parameters (Å, degrees): 7.659 8.453 10.723 90.00 92.91 90.00
Site moments in Bohr magnetons follow the coordinates.
Element x y z (fractional)
Br 0.329 0.779 0.054  -0.04
Br 0.110 0.030 0.749  -0.04
Br 0.700 0.174 0.546  -0.04
Br 0.171 0.279 0.446  -0.04
Br 0.200 0.326 0.046  -0.04
Br 0.671 0.221 0.946  -0.04
Br 0.890 0.970 0.251  -0.04
Br 0.300 0.826 0.454  -0.04
Br 0.610 0.470 0.249  -0.04
Br 0.390 0.530 0.751  -0.04
Br 0.800 0.674 0.954  -0.04
Br 0.829 0.721 0.554  -0.04
Tl 0.028 0.592 0.241  0.00
Tl 0.528 0.908 0.741  0.00
Tl 0.472 0.092 0.259  0.00
Tl 0.972 0.408 0.759  0.00
Np 0.000 0.000 0.500  3.22
Np 0.500 0.500 0.000  3.22

Fermi-level density of states   0.4751 states/eV/atom


Energy comparison, zero being the most stable, in meV per atom: A 20; B 0.


## A
DFT (GGA-PBE) results for crystalline NpTl3Br6 at its relaxed geometry.

Lattice parameters (Å, degrees): 7.684 7.684 8.886 110.11 110.11 101.82
Site moments in Bohr magnetons follow the coordinates.
Element x y z (fractional)
Br 0.763 0.237 0.000  -0.02
Br 0.351 0.351 0.266  -0.02
Br 0.915 0.915 0.266  -0.02
Br 0.085 0.085 0.734  -0.02
Br 0.649 0.649 0.734  -0.02
Br 0.237 0.763 0.000  -0.02
Np 0.000 0.000 0.000  3.91
Tl 0.750 0.250 0.500  0.01
Tl 0.500 0.500 0.000  0.00
Tl 0.250 0.750 0.500  0.01

Fermi-level density of states   0.8947 states/eV/atom


## B
DFT (GGA-PBE) results for crystalline NpTl3Br6 at its relaxed geometry.

Lattice parameters (Å, degrees): 7.822 8.684 11.386 90.00 93.74 90.00
Site moments in Bohr magnetons follow the coordinates.
Element x y z (fractional)
Br 0.196 0.331 0.552  -0.02
Br 0.843 0.719 0.080  -0.02
Br 0.657 0.219 0.420  -0.02
Br 0.343 0.781 0.580  -0.02
Br 0.645 0.433 0.735  -0.01
Br 0.855 0.933 0.765  -0.01
Br 0.304 0.831 0.948  -0.02
Br 0.157 0.281 0.920  -0.02
Br 0.696 0.169 0.052  -0.02
Br 0.355 0.567 0.265  -0.01
Br 0.145 0.067 0.235  -0.01
Br 0.804 0.669 0.448  -0.02
Tl 0.968 0.417 0.267  0.00
Tl 0.032 0.583 0.733  0.00
Tl 0.000 0.000 0.500  0.00
Tl 0.532 0.917 0.233  0.00
Tl 0.500 0.500 0.000  0.00
Tl 0.468 0.083 0.767  0.00
Np 0.000 0.000 0.000  3.97
Np 0.500 0.500 0.500  3.97

Fermi-level density of states   0.4783 states/eV/atom


Energy comparison, zero being the most stable, in meV per atom: A 80; B 0.


## A
DFT (GGA-PBE) results for crystalline NpZnBr6 at its relaxed geometry.

Lattice parameters (Å, degrees): 7.335 7.335 6.719 90.53 90.53 119.66
Site moments in Bohr magnetons follow the coordinates.
Element x y z (fractional)
Br 0.001 0.709 0.761  -0.04
Br 0.709 0.001 0.761  -0.04
Br 0.709 0.709 0.231  -0.04
Br 0.291 0.999 0.239  -0.04
Br 0.291 0.291 0.769  -0.04
Br 0.999 0.291 0.239  -0.04
Np 0.000 0.000 0.500  3.21
Zn 0.000 0.000 0.000  0.00

Fermi-level density of states   0.8053 states/eV/atom


## B
DFT (GGA-PBE) results for crystalline NpZnBr6 at its relaxed geometry.

Lattice parameters (Å, degrees): 6.864 6.866 7.387 62.30 62.31 59.99
Site moments in Bohr magnetons follow the coordinates.
Element x y z (fractional)
Np 0.000 0.000 0.000  3.25
Br 0.893 0.594 0.257  -0.04
Br 0.406 0.744 0.743  -0.04
Br 0.107 0.406 0.743  -0.04
Br 0.594 0.256 0.257  -0.04
Br 0.256 0.893 0.257  -0.04
Br 0.744 0.107 0.743  -0.04
Zn 0.500 0.500 0.500  0.01

Fermi-level density of states   0.6509 states/eV/atom


Energy comparison, zero being the most stable, in meV per atom: A 0; B 50.


## A
DFT (GGA-PBE) results for crystalline Br3O2 at its relaxed geometry.

Lattice parameters (Å, degrees): 4.701 5.680 6.416 86.10 80.80 82.00
Site moments in Bohr magnetons follow the coordinates.
Element x y z (fractional)
O 0.588 0.042 0.695  0.58
O 0.568 0.087 0.882  0.51
Br 0.121 0.417 0.383  -0.12
Br 0.835 0.788 0.092  -0.15
Br 0.993 0.590 0.736  -0.03


## B
DFT (GGA-PBE) results for crystalline Br3O2 at its relaxed geometry.

Lattice parameters (Å, degrees): 6.275 7.006 7.340 90.00 105.51 90.00
Site moments in Bohr magnetons follow the coordinates.
Element x y z (fractional)
Br 0.500 0.500 0.000  -0.12
Br 0.233 0.500 0.678  -0.10
Br 0.500 0.000 0.500  -0.12
Br 0.767 0.000 0.822  -0.10
Br 0.233 0.000 0.178  -0.10
Br 0.767 0.500 0.322  -0.10
O 0.061 0.500 0.080  0.60
O 0.939 0.000 0.420  0.60
O 0.061 0.000 0.580  0.60
O 0.939 0.500 0.920  0.60

Fermi-level density of states   0.6934 states/eV/atom


Energy comparison, zero being the most stable, in meV per atom: A 0; B 18.


## A
DFT (GGA-PBE) results for crystalline Br3O2 at its relaxed geometry.

Lattice parameters (Å, degrees): 5.215 5.265 6.690 74.02 73.25 81.65
Site moments in Bohr magnetons follow the coordinates.
Element x y z (fractional)
Br 0.435 0.355 0.895  -0.02
Br 0.718 0.623 0.563  -0.04
Br 0.042 0.930 0.264  -0.07
O 0.097 0.011 0.600  0.46
O 0.948 0.870 0.754  0.49

Fermi-level density of states   0.0793 states/eV/atom


## B
DFT (GGA-PBE) results for crystalline Br3O2 at its relaxed geometry.

Lattice parameters (Å, degrees): 7.368 4.863 15.567 70.34 76.31 40.75
Site moments in Bohr magnetons follow the coordinates.
Element x y z (fractional)
Br 0.707 0.500 0.500  0.24
Br 0.269 0.515 0.271  0.00
Br 0.966 0.000 0.000  0.23
Br 0.055 0.485 0.729  0.00
Br 0.531 0.076 0.765  0.00
Br 0.372 0.924 0.235  0.00
O 0.309 0.578 0.987  0.27
O 0.038 0.120 0.469  0.27
O 0.628 0.880 0.531  0.27
O 0.875 0.422 0.013  0.27

Fermi-level density of states   0.3898 states/eV/atom


## C
DFT (GGA-PBE) results for crystalline Br3O2 at its relaxed geometry.

Lattice parameters (Å, degrees): 4.422 7.273 10.107 100.37 97.41 96.99
Element x y z (fractional)
O 0.130 0.185 0.725
O 0.436 0.100 0.503
O 0.105 0.487 0.588
O 0.588 0.610 0.804
Br 0.099 0.135 0.554
Br 0.207 0.542 0.759
Br 0.866 0.027 0.006
Br 0.661 0.825 0.170
Br 0.456 0.624 0.328
Br 0.160 0.323 0.164


## D
DFT (GGA-PBE) results for crystalline Br3O2 at its relaxed geometry.

Lattice parameters (Å, degrees): 3.207 6.597 8.469 63.38 86.54 87.75
Site moments in Bohr magnetons follow the coordinates.
Element x y z (fractional)
O 0.351 0.328 0.644  0.81
O 0.432 0.325 0.785  0.81
Br 0.922 0.827 0.216  0.00
Br 0.874 0.977 0.443  0.00
Br 0.970 0.678 0.988  0.00

Fermi-level density of states   0.5750 states/eV/atom


Energy comparison, zero being the most stable, in meV per atom: A 25; B 143; C 81; D 0.


## A
DFT (GGA-PBE) results for crystalline Br3O2 at its relaxed geometry.

Lattice parameters (Å, degrees): 4.701 6.169 6.335 64.11 67.46 73.47
Site moments in Bohr magnetons follow the coordinates.
Element x y z (fractional)
O 0.431 0.930 0.497  0.80
O 0.569 0.070 0.503  0.80
Br 0.000 0.000 0.000  0.01
Br 0.780 0.435 0.782  0.00
Br 0.220 0.565 0.218  0.00

Fermi-level density of states   0.6484 states/eV/atom


## B
DFT (GGA-PBE) results for crystalline Br3O2 at its relaxed geometry.

Lattice parameters (Å, degrees): 11.350 4.417 11.634 90.00 99.87 90.00
Element x y z (fractional)
Br 0.072 0.924 0.696
Br 0.208 0.165 0.099
Br 0.432 0.344 0.365
Br 0.792 0.165 0.901
Br 0.432 0.844 0.865
Br 0.568 0.344 0.635
Br 0.072 0.424 0.196
Br 0.928 0.424 0.804
Br 0.568 0.844 0.135
Br 0.208 0.665 0.599
Br 0.928 0.924 0.304
Br 0.792 0.665 0.401
O 0.562 0.704 0.679
O 0.374 0.820 0.990
O 0.438 0.204 0.821
O 0.438 0.704 0.321
O 0.374 0.320 0.490
O 0.562 0.204 0.179
O 0.626 0.820 0.010
O 0.626 0.320 0.510


Energy comparison, zero being the most stable, in meV per atom: A 0; B 52.